# 1
Here is crystalline Sm6Ho8Cd at its relaxed geometry from the Alexandria database. Energies are from PBE.

For the formation enthalpy at 0 K, the calculation gives 87 meV/atom. For the total magnetic moment, the calculation gives 0.00 μB/f.u. The value obtained for the total energy is -4.303 eV/atom. The space-group type is P-3, No. 147.

POSCAR file:
```
Sm6Ho8Cd
1.0
6.2680 0.0000 0.0000
0.0000 8.1755 -4.7201
0.0000 0.0000 9.4403
Ho Sm Cd
8 6 1
direct
0.1924 0.9595 0.7375
0.1858 0.6667 0.3333
0.1924 0.2625 0.2219
0.8076 0.0405 0.2625
0.8076 0.7375 0.7781
0.8142 0.3333 0.6667
0.8076 0.2219 0.9595
0.1924 0.7781 0.0405
0.3103 0.0909 0.4542
0.6897 0.9091 0.5458
0.3103 0.5458 0.6367
0.6897 0.6367 0.0909
0.6897 0.4542 0.3633
0.3103 0.3633 0.9091
0.5000 0.0000 0.0000
```



# 2
Here is crystalline Re2RhSe at its relaxed geometry from the Alexandria database. Energies are from PBE.

The uncorrected formation energy is 379 meV/atom. For the total magnetic moment, the calculation gives 0.00 μB/f.u. The value obtained for the total energy is -8.554 eV/atom. The space-group type is Imm2, No. 44.

POSCAR file:
```
Re2RhSe
1.0
-0.1796 3.6502 -3.7266
-3.9059 3.4593 0.1452
4.1501 -2.0167 2.4399
Rh Se Re
1 1 2
direct
0.4788 0.4788 0.0000
0.2476 0.7476 0.5000
0.0183 0.0183 0.0000
0.7554 0.2554 0.5000
```



# 3
Here is crystalline AgGeSb2 at its relaxed geometry from the Alexandria database. Energies are from PBE.

The uncorrected formation energy is 181 meV/atom. For the total magnetic moment, the calculation gives 0.00 μB/f.u. The value obtained for the total energy is -3.747 eV/atom. The space-group type is R3m, No. 160.

POSCAR file:
```
AgGeSb2
1.0
4.2718 0.0000 0.0000
2.1359 3.6995 0.0000
2.1359 1.2332 6.4222
Sb Ge Ag
2 1 1
direct
0.2508 0.2508 0.2477
0.0867 0.0867 0.7398
0.6639 0.6639 0.0082
0.4985 0.4985 0.5044
```



# 4
Here is crystalline KMg2Mo at its relaxed geometry from the Alexandria database. Energies are from PBE.

For the formation enthalpy at 0 K, the calculation gives 1139 meV/atom. The value obtained for the energy above the most stable polymorph in this dataset is 2.41 eV/f.u. For the total magnetic moment, the calculation gives 3.01 μB/f.u. The value obtained for the total energy is -2.641 eV/atom. The space-group type is I-42d, No. 122.

POSCAR file:
```
KMg2Mo
1.0
-4.2629 -7.2738 -0.7231
6.5916 -3.4635 -4.0199
2.4038 -6.3841 0.5358
Mg Mo K
4 2 2
direct
0.8750 0.9290 0.7500
0.6790 0.1250 0.2500
0.0710 0.6250 0.2500
0.3750 0.3210 0.7500
0.7500 0.2500 0.5000
0.0000 0.0000 0.0000
0.5000 0.5000 0.0000
0.2500 0.7500 0.5000
```



# 5
Here is crystalline MnAlTc2C at its relaxed geometry from the Alexandria database. Energies are from PBE.

For the formation enthalpy at 0 K, the calculation gives -115 meV/atom. For the total magnetic moment, the calculation gives 2.24 μB/f.u. The value obtained for the total energy is -8.688 eV/atom. The space-group type is P4/mmm, No. 123.

POSCAR file:
```
MnAlTc2C
1.0
4.0908 0.0000 0.0000
0.0000 4.0908 0.0000
0.0000 0.0000 3.8186
C Al Tc Mn
1 1 2 1
direct
0.0000 0.0000 0.0000
0.5000 0.5000 0.5000
0.0000 0.5000 0.0000
0.5000 0.0000 0.0000
0.0000 0.0000 0.5000
```



# 6
Here is crystalline PuCdHg5 at its relaxed geometry from the Alexandria database. Energies are from PBE.

For the formation enthalpy at 0 K, the calculation gives -85 meV/atom. For the total magnetic moment, the calculation gives 6.05 μB/f.u. The value obtained for the total energy is -2.478 eV/atom. The space-group type is P4/mmm, No. 123.

POSCAR file:
```
PuCdHg5
1.0
-2.8756 -2.4532 -3.2642
1.9254 -4.3353 1.5620
-5.3318 -0.5317 5.0965
Hg Pu Cd
5 1 1
direct
0.5000 0.5000 0.0000
0.5000 0.0000 0.2783
0.5000 0.0000 0.7217
0.0000 0.5000 0.2783
0.0000 0.5000 0.7217
0.0000 0.0000 0.0000
0.0000 0.0000 0.5000
```



# 7
Here is crystalline Sr2Li4InAu3 at its relaxed geometry from the Alexandria database. Energies are from PBE.

For the formation enthalpy at 0 K, the calculation gives -495 meV/atom. For the total magnetic moment, the calculation gives 0.00 μB/f.u. The value obtained for the total energy is -2.854 eV/atom. The space-group type is P-4m2, No. 115.

POSCAR file:
```
Sr2Li4InAu3
1.0
4.4606 0.0000 0.0000
0.0000 4.4606 0.0000
0.0000 0.0000 11.3832
Au Li Sr In
3 4 2 1
direct
0.5000 0.0000 0.8621
0.0000 0.0000 0.5000
0.0000 0.5000 0.1379
0.5000 0.5000 0.0000
0.0000 0.5000 0.3660
0.5000 0.0000 0.6340
0.0000 0.0000 0.0000
0.0000 0.5000 0.7509
0.5000 0.0000 0.2491
0.5000 0.5000 0.5000
```



# 8
Here is crystalline Si3AsH at its relaxed geometry from the Alexandria database. Energies are from PBE.

The value obtained for the energy above the most stable polymorph in this dataset is 4.47 eV/f.u. For the total magnetic moment, the calculation gives 0.52 μB/f.u. The value obtained for the total energy is -3.270 eV/atom. The space-group type is Pm-3m, No. 221.

POSCAR file:
```
Si3AsH
1.0
-1.7987 2.3137 -3.9263
-3.3442 -3.5377 -0.5527
-3.0960 2.4770 2.8780
Si H As
3 1 1
direct
0.0000 0.5000 0.0000
0.0000 0.0000 0.5000
0.5000 0.0000 0.0000
0.5000 0.5000 0.5000
0.0000 0.0000 0.0000
```